Entry from Alexandria via LeMat-Bulk: a relaxed DyZrNiPd crystal (PBE).

a b c (Å): 6.7378 6.7378 6.7378
angles (deg): 90.00 90.00 90.00
Last column: nearest neighbours and their distance in Å.
Space group F-43m (No. 216)
Unique sites:
Dy: 0.0000 0.0000 0.0000  4 Pd 2.92, 4 Ni 2.92
Zr: 0.0000 0.0000 0.5000  4 Ni 2.92, 4 Pd 2.92
Ni: 0.2500 0.2500 0.7500  4 Zr 2.92, 4 Dy 2.92
Pd: 0.2500 0.2500 0.2500  4 Zr 2.92, 4 Dy 2.92

Properties
- crystal system = cubic
- energy (eV for the cell shown) = -104.28
- energy relative to the elements (eV per atom) = -0.49


Entry from Alexandria via LeMat-Bulk: a relaxed PmDy2Ni crystal (PBE).

a b c (Å): 3.6741 12.1168 9.5366
angles (deg): 90.00 90.00 90.00
Last column: nearest neighbours and their distance in Å.
Space group Cmcm (No. 63)
Unique sites:
Pm: 0.0000 0.0790 0.2500  2 Ni 2.92
Dy: 0.0000 0.3622 0.0699  2 Ni 2.77
Ni: 0.0000 0.2337 0.7500  4 Dy 2.77, 2 Pm 2.92

Properties
- crystal system = orthorhombic
- energy (eV for the cell shown) = -82.11
- polymorph energy (0 for the lowest one) (eV/atom) = 0.029
- energy relative to the elements (eV per atom) = -0.20


Entry from Alexandria via LeMat-Bulk: a relaxed Pm3DyNi crystal (PBE).

a b c (Å): 10.4782 7.3769 7.9656
angles (deg): 90.00 90.00 90.00
Last column: nearest neighbours and their distance in Å.
Space group Ima2 (No. 46)
Unique sites:
Pm: 0.0147 0.2504 0.0000  1 Ni 2.77
Pm: 0.2500 0.0063 0.2491  2 Ni 2.74-2.75
Dy: 0.2500 0.5057 0.2511  2 Ni 2.68-2.69
Ni: 0.2500 0.7482 0.0002  2 Dy 2.68-2.69, 4 Pm 2.74-2.77

Properties
- crystal system = orthorhombic
- energy (eV for the cell shown) = -99.39
- polymorph energy (0 for the lowest one) (eV/atom) = 0.000
- energy relative to the elements (eV per atom) = -0.04


Entry from Alexandria via LeMat-Bulk: a relaxed Pm3DyNi crystal (PBE).

a b c (Å): 5.4361 5.4361 5.4361
angles (deg): 90.00 90.00 90.00
Last column: nearest neighbours and their distance in Å.
Space group Pm-3m (No. 221)
Unique sites:
Pm: 0.0000 0.0000 0.5000  2 Ni 2.72
Dy: 0.5000 0.5000 0.5000  12 Pm 3.84
Ni: 0.0000 0.0000 0.0000  6 Pm 2.72

Properties
- crystal system = cubic
- energy (eV for the cell shown) = -24.40
- polymorph energy (0 for the lowest one) (eV/atom) = 0.089
- energy relative to the elements (eV per atom) = 0.05


Entry from Alexandria via LeMat-Bulk: a relaxed Pm3Dy3Ni4 crystal (PBE).

a b c (Å): 3.8908 10.8570 10.7390
angles (deg): 90.00 90.00 90.00
Last column: nearest neighbours and their distance in Å.
Space group Amm2 (No. 38)
Unique sites:
Pm: 0.0000 0.0000 0.0000  6 Ni 2.97-3.01
Pm: 0.0000 0.1666 0.6643  6 Ni 2.96-3.03
Dy: 0.0000 0.0000 0.3332  6 Ni 2.92-2.95
Dy: 0.5000 0.2481 0.4138  4 Ni 2.96-3.11
Ni: 0.5000 0.0000 0.5392  1 Ni 2.65, 2 Dy 2.95
Ni: 0.5000 0.0000 0.7863  1 Ni 2.65, 4 Pm 2.96
Ni: 0.5000 0.1191 0.1706  1 Ni 2.59

Properties
- crystal system = orthorhombic
- energy (eV for the cell shown) = -107.92
- energy relative to the elements (eV per atom) = -0.28


Entry from Alexandria via LeMat-Bulk: a relaxed Pm2DyNi6 crystal (PBE).

a b c (Å): 6.9253 6.9253 3.8961
angles (deg): 90.00 90.00 120.00
Last column: nearest neighbours and their distance in Å.
Space group P6/mmm (No. 191)
Unique sites:
Pm: 0.3333 0.6667 0.0000  12 Ni 3.02
Dy: 0.0000 0.0000 0.0000  12 Ni 3.01
Ni: 0.0000 0.3318 0.5000  3 Ni 2.30-2.33

Properties
- crystal system = hexagonal
- energy (eV for the cell shown) = -51.96
- energy relative to the elements (eV per atom) = -0.35


Entry from Alexandria via LeMat-Bulk: a relaxed PmDyNi crystal (PBE).

a b c (Å): 4.5330 4.5330 4.1918
angles (deg): 90.00 90.00 120.00
Last column: nearest neighbours and their distance in Å.
Space group P3m1 (No. 156)
Unique sites:
Pm: 0.0000 0.0000 0.0000  3 Ni 2.92
Dy: 0.3333 0.6667 0.4845  3 Ni 2.76
Ni: 0.6667 0.3333 0.6910  3 Dy 2.76, 3 Pm 2.92

Properties
- crystal system = trigonal
- energy (eV for the cell shown) = -15.31
- polymorph energy (0 for the lowest one) (eV/atom) = 0.138
- energy relative to the elements (eV per atom) = -0.06


Entry from Alexandria via LeMat-Bulk: a relaxed Pm2DyNi crystal (PBE).

a b c (Å): 6.4866 6.3921 11.3135
angles (deg): 90.00 90.00 90.00
Last column: nearest neighbours and their distance in Å.
Space group Pnna (No. 52)
Unique sites:
Pm: 0.0854 0.2394 0.0862  2 Ni 2.74-2.80
Dy: 0.0707 0.2500 0.7500  2 Ni 2.68
Ni: 0.2500 0.0000 0.5895  2 Dy 2.68, 4 Pm 2.74-2.80

Properties
- crystal system = orthorhombic
- energy (eV for the cell shown) = -80.86
- polymorph energy (0 for the lowest one) (eV/atom) = 0.120
- energy relative to the elements (eV per atom) = -0.08